Entry 1:
Computed, not measured: a relaxed Dy6NiAg2 crystal at the GGA-PBE level of DFT.

## Properties
The energy relative to the elements comes out at -14.4 kJ per mole of atoms. The total magnetization comes out at 0.00 μB/cell. The calculation puts the density of states at the Fermi level at 9.43 states/eV/f.u. The value obtained for the total energy is -0.33025 Ry/atom.

Cell lengths 8.468, 8.468, 8.468 Å; angles 73.06, 69.38, 110.88 degrees
Positions (direct):
Ni 0.500 0.500 0.000
Dy 0.329 0.604 0.725
Dy 0.171 0.747 0.082
Ag 0.352 0.000 0.648
Ni 0.000 0.000 0.000
Dy 0.171 0.253 0.576
Dy 0.829 0.253 0.918
Dy 0.671 0.396 0.275
Dy 0.079 0.263 0.184
Dy 0.671 0.945 0.725
Dy 0.329 0.055 0.275
Ag 0.139 0.639 0.500
Ag 0.861 0.361 0.500
Dy 0.829 0.747 0.424
Dy 0.447 0.263 0.816
Dy 0.553 0.737 0.184
Dy 0.921 0.737 0.816
Ag 0.648 0.000 0.352

***

Entry 2:
Computed, not measured: a relaxed Dy3NiAg crystal at the GGA-PBE level of DFT.

## Properties
The energy relative to the elements comes out at -25.0 kJ per mole of atoms. The total magnetization comes out at 0.00 μB/cell. The calculation puts the density of states at the Fermi level at 5.48 states/eV/f.u. The value obtained for the total energy is -0.34886 Ry/atom.

Cell lengths 5.985, 5.985, 8.496 Å; angles 67.39, 67.39, 65.48 degrees
Positions (direct):
Ag 0.284 0.716 0.500
Ni 0.305 0.695 0.000
Dy 0.969 0.969 0.227
Dy 0.681 0.681 0.127
Ag 0.716 0.284 0.500
Ni 0.695 0.305 0.000
Dy 0.031 0.031 0.773
Dy 0.291 0.291 0.316
Dy 0.319 0.319 0.873
Dy 0.709 0.709 0.684

***

Entry 3:
Computed, not measured: a relaxed Dy3NiAg2 crystal at the GGA-PBE level of DFT.

## Properties
The energy relative to the elements comes out at -16.0 kJ per mole of atoms. The total magnetization comes out at 0.00 μB/cell. The calculation puts the density of states at the Fermi level at 4.05 states/eV/f.u. The value obtained for the total energy is -0.32197 Ry/atom.

Cell lengths 5.804, 7.715, 7.579 Å; angles 104.82, 112.51, 90.00 degrees
Positions (direct):
Ag 0.683 0.091 0.367
Ag 0.315 0.409 0.633
Dy 0.136 0.069 0.274
Dy 0.500 0.750 0.000
Ag 0.317 0.909 0.633
Ni 0.000 0.750 0.000
Dy 0.138 0.569 0.274
Ni 0.000 0.250 0.000
Ag 0.685 0.591 0.367
Dy 0.862 0.431 0.726
Dy 0.500 0.250 0.000
Dy 0.864 0.931 0.726

***

Entry 4:
Computed, not measured: a relaxed Dy2Ni2Ag crystal at the GGA-PBE level of DFT.

## Properties
The energy relative to the elements comes out at -40.8 kJ per mole of atoms. The total magnetization comes out at 0.00 μB/cell. The calculation puts the density of states at the Fermi level at 4.28 states/eV/f.u. The value obtained for the total energy is -0.37826 Ry/atom.

Cell lengths 3.613, 3.939, 7.202 Å; angles 105.87, 90.00, 90.00 degrees
Positions (direct):
Ni 0.000 0.801 0.602
Dy 0.500 0.365 0.730
Dy 0.500 0.635 0.270
Ni 0.000 0.199 0.398
Ag 0.000 0.000 0.000

***

Entry 5:
Computed, not measured: a relaxed Dy6NiAg2 crystal at the GGA-PBE level of DFT.

## Properties
The energy relative to the elements comes out at -15.1 kJ per mole of atoms. The total magnetization comes out at 0.00 μB/cell. The calculation puts the density of states at the Fermi level at 10.62 states/eV/f.u. The value obtained for the total energy is -0.33082 Ry/atom.

Cell lengths 6.733, 7.266, 10.063 Å; angles 90.00, 86.32, 90.00 degrees
Positions (direct):
Ag 0.558 0.892 0.756
Dy 0.185 0.315 0.449
Dy 0.315 0.815 0.051
Dy 0.841 0.686 0.944
Dy 0.368 0.514 0.750
Ni 0.500 0.500 0.000
Dy 0.341 0.814 0.444
Dy 0.632 0.486 0.250
Dy 0.132 0.014 0.750
Ni 0.000 0.000 0.500
Ag 0.058 0.608 0.256
Dy 0.659 0.186 0.556
Dy 0.685 0.185 0.949
Dy 0.815 0.685 0.551
Ag 0.942 0.392 0.744
Ag 0.442 0.108 0.244
Dy 0.868 0.986 0.250
Dy 0.159 0.314 0.056

***

Entry 6:
Computed, not measured: a relaxed Dy8Ni2Ag crystal at the GGA-PBE level of DFT.

## Properties
The energy relative to the elements comes out at -10.4 kJ per mole of atoms. The total magnetization comes out at 0.00 μB/cell. The calculation puts the density of states at the Fermi level at 13.83 states/eV/f.u. The value obtained for the total energy is -0.35026 Ry/atom.

Cell lengths 5.525, 7.735, 7.735 Å; angles 114.48, 98.02, 98.02 degrees
Positions (direct):
Dy 0.913 0.666 0.923
Dy 0.087 0.077 0.334
Ni 0.000 0.698 0.302
Dy 0.500 0.240 0.760
Dy 0.500 0.760 0.240
Ag 0.500 0.000 0.000
Dy 0.691 0.382 0.382
Dy 0.913 0.923 0.666
Dy 0.309 0.618 0.618
Dy 0.087 0.334 0.077
Ni 0.000 0.302 0.698